# 1
The following is a PBE calculation of TbPr2Y after structural relaxation, from the Alexandria database.

Output
For the energy above the lowest structure with this stoichiometry, the calculation gives 8.8 meV/atom. The total magnetization comes out at 0.0 μB per formula unit. As for the symmetry: P4/mmm. The energy of formation comes out at 17 meV/atom.

Cell: 5.091 5.174 5.174 Å, 90.00 90.00 90.00°
Positions (direct):
Pr (0.000, 0.000, 0.500)
Pr (0.000, 0.500, 0.000)
Y (0.500, 0.000, 0.000)
Tb (0.500, 0.500, 0.500)

# 2
The following is a PBE calculation of Tb4Pr3Y after structural relaxation, from the Alexandria database.

Output
For the energy above the lowest structure with this stoichiometry, the calculation gives 128.6 meV/atom. The total magnetization comes out at 0.0 μB per formula unit. As for the symmetry: C2/m. The energy of formation comes out at 154 meV/atom.

Cell: 3.501 6.834 12.046 Å, 106.56 98.36 90.00°
Positions (direct):
Pr (0.000, 0.500, 0.000)
Pr (0.127, 0.883, 0.254)
Pr (0.873, 0.117, 0.746)
Y (0.500, 0.000, 0.000)
Tb (0.741, 0.251, 0.482)
Tb (0.259, 0.749, 0.518)
Tb (0.125, 0.366, 0.250)
Tb (0.875, 0.634, 0.750)

# 3
The following is a PBE calculation of Tb2Pr5Y6 after structural relaxation, from the Alexandria database.

Output
The total magnetization comes out at 0.0 μB per formula unit. As for the symmetry: Pbam. The energy of formation comes out at 91 meV/atom.

Cell: 3.631 11.786 20.779 Å, 90.00 90.00 90.00°
Positions (direct):
Tb (0.000, 0.329, 0.290)
Tb (0.000, 0.671, 0.710)
Tb (0.000, 0.829, 0.210)
Tb (0.000, 0.171, 0.790)
Pr (0.500, 0.300, 0.451)
Pr (0.500, 0.700, 0.549)
Pr (0.500, 0.800, 0.049)
Pr (0.500, 0.200, 0.951)
Pr (0.500, 0.583, 0.272)
Pr (0.500, 0.417, 0.728)
Pr (0.500, 0.083, 0.228)
Pr (0.500, 0.917, 0.772)
Pr (0.500, 0.500, 0.000)
Pr (0.500, 0.000, 0.500)
Y (0.000, 0.081, 0.369)
Y (0.000, 0.919, 0.631)
Y (0.000, 0.581, 0.131)
Y (0.000, 0.419, 0.869)
Y (0.500, 0.324, 0.138)
Y (0.500, 0.676, 0.862)
Y (0.500, 0.824, 0.362)
Y (0.500, 0.176, 0.638)
Y (0.000, 0.560, 0.419)
Y (0.000, 0.440, 0.581)
Y (0.000, 0.060, 0.081)
Y (0.000, 0.940, 0.919)

# 4
The following is a PBE calculation of Tb4PrY7 after structural relaxation, from the Alexandria database.

Output
For the energy above the lowest structure with this stoichiometry, the calculation gives 0.0 meV/atom. The total magnetization comes out at 0.0 μB per formula unit. As for the symmetry: P-1. The energy of formation comes out at 83 meV/atom.

Cell: 6.852 6.558 11.798 Å, 74.98 50.39 81.95°
Positions (direct):
Tb (0.525, 0.639, 0.286)
Tb (0.475, 0.361, 0.714)
Tb (0.695, 0.837, 0.690)
Tb (0.305, 0.163, 0.310)
Pr (0.000, 0.000, 0.000)
Y (0.798, 0.516, 0.950)
Y (0.202, 0.484, 0.050)
Y (0.054, 0.320, 0.639)
Y (0.946, 0.680, 0.361)
Y (0.280, 0.811, 0.613)
Y (0.500, 0.000, 0.000)
Y (0.720, 0.189, 0.387)

# 5
The following is a PBE calculation of Tb7Pr12Y after structural relaxation, from the Alexandria database.

Output
For the energy above the lowest structure with this stoichiometry, the calculation gives 0.0 meV/atom. The total magnetization comes out at 0.0 μB per formula unit. As for the symmetry: R-3. The energy of formation comes out at 214 meV/atom.

Cell: 8.922 8.922 8.922 Å, 87.08 87.08 87.08°
Positions (direct):
Tb (0.994, 0.639, 0.113)
Tb (0.361, 0.887, 0.006)
Tb (0.887, 0.006, 0.361)
Tb (0.500, 0.500, 0.500)
Tb (0.113, 0.994, 0.639)
Tb (0.639, 0.113, 0.994)
Tb (0.006, 0.361, 0.887)
Pr (0.775, 0.245, 0.651)
Pr (0.755, 0.349, 0.225)
Pr (0.420, 0.102, 0.348)
Pr (0.898, 0.652, 0.580)
Pr (0.349, 0.225, 0.755)
Pr (0.652, 0.580, 0.898)
Pr (0.348, 0.420, 0.102)
Pr (0.651, 0.775, 0.245)
Pr (0.102, 0.348, 0.420)
Pr (0.580, 0.898, 0.652)
Pr (0.245, 0.651, 0.775)
Pr (0.225, 0.755, 0.349)
Y (0.000, 0.000, 0.000)

# 6
The following is a PBE calculation of Tb2Pr4Y after structural relaxation, from the Alexandria database.

Output
For the energy above the lowest structure with this stoichiometry, the calculation gives 131.2 meV/atom. The total magnetization comes out at 0.0 μB per formula unit. As for the symmetry: Cmmm. The energy of formation comes out at 191 meV/atom.

Cell: 7.015 7.015 10.712 Å, 90.00 90.00 103.75°
Positions (direct):
Tb (0.294, 0.705, 0.000)
Tb (0.706, 0.295, 0.000)
Tb (0.295, 0.706, 0.500)
Tb (0.705, 0.294, 0.500)
Pr (0.799, 0.800, 0.000)
Pr (0.201, 0.200, 0.000)
Pr (0.200, 0.201, 0.500)
Pr (0.800, 0.799, 0.500)
Pr (0.500, 0.000, 0.250)
Pr (0.000, 0.500, 0.250)
Pr (0.500, 0.000, 0.750)
Pr (0.000, 0.500, 0.750)
Y (0.500, 0.500, 0.250)
Y (0.500, 0.500, 0.750)

# 7
The following is a PBE calculation of TbPr4Y7 after structural relaxation, from the Alexandria database.

Output
For the energy above the lowest structure with this stoichiometry, the calculation gives 192.8 meV/atom. The total magnetization comes out at 0.0 μB per formula unit. As for the symmetry: C2/m. The energy of formation comes out at 275 meV/atom.

Cell: 5.934 12.030 6.731 Å, 84.33 63.84 75.72°
Positions (direct):
Tb (0.000, 0.000, 0.000)
Pr (0.642, 0.225, 0.492)
Pr (0.358, 0.775, 0.508)
Pr (0.698, 0.710, 0.893)
Pr (0.302, 0.290, 0.107)
Y (0.794, 0.916, 0.496)
Y (0.206, 0.084, 0.504)
Y (0.031, 0.632, 0.306)
Y (0.969, 0.368, 0.694)
Y (0.352, 0.515, 0.782)
Y (0.500, 0.000, 0.000)
Y (0.648, 0.485, 0.218)

# 8
The following is a PBE calculation of Tb3PrY7 after structural relaxation, from the Alexandria database.

Output
For the energy above the lowest structure with this stoichiometry, the calculation gives 56.4 meV/atom. The total magnetization comes out at 0.0 μB per formula unit. As for the symmetry: P3m1. The energy of formation comes out at 198 meV/atom.

Cell: 8.656 7.113 7.113 Å, 120.00 90.00 90.00°
Positions (direct):
Tb (0.784, 0.500, 0.500)
Tb (0.784, 0.500, 0.001)
Tb (0.784, 0.999, 0.500)
Pr (0.448, 0.333, 0.667)
Y (0.116, 0.168, 0.832)
Y (0.116, 0.168, 0.335)
Y (0.118, 0.667, 0.333)
Y (0.449, 0.832, 0.168)
Y (0.449, 0.335, 0.168)
Y (0.449, 0.832, 0.665)
Y (0.116, 0.665, 0.832)

# 9
The following is a PBE calculation of TbPr3Y7 after structural relaxation, from the Alexandria database.

Output
For the energy above the lowest structure with this stoichiometry, the calculation gives 0.0 meV/atom. The total magnetization comes out at 0.0 μB per formula unit. As for the symmetry: P2/m. The energy of formation comes out at 141 meV/atom.

Cell: 8.943 10.279 5.579 Å, 90.00 128.56 106.30°
Positions (direct):
Tb (0.500, 0.500, 0.500)
Pr (0.215, 0.996, 0.716)
Pr (0.000, 0.500, 0.000)
Pr (0.785, 0.004, 0.284)
Y (0.904, 0.829, 0.904)
Y (0.815, 0.634, 0.315)
Y (0.639, 0.288, 0.139)
Y (0.361, 0.712, 0.861)
Y (0.500, 0.000, 0.500)
Y (0.185, 0.366, 0.685)
Y (0.096, 0.171, 0.096)

# 10
The following is a PBE calculation of Tb12PrY7 after structural relaxation, from the Alexandria database.

Output
For the energy above the lowest structure with this stoichiometry, the calculation gives 601.2 meV/atom. The total magnetization comes out at 0.0 μB per formula unit. As for the symmetry: Im-3. The energy of formation comes out at 706 meV/atom.

Cell: 9.807 9.807 9.807 Å, 109.47 109.47 109.47°
Positions (direct):
Tb (0.490, 0.745, 0.744)
Tb (0.001, 0.745, 0.256)
Tb (0.510, 0.255, 0.256)
Tb (0.999, 0.255, 0.744)
Tb (0.744, 0.999, 0.255)
Tb (0.744, 0.490, 0.745)
Tb (0.256, 0.001, 0.745)
Tb (0.256, 0.510, 0.255)
Tb (0.745, 0.744, 0.490)
Tb (0.255, 0.256, 0.510)
Tb (0.745, 0.256, 0.001)
Tb (0.255, 0.744, 0.999)
Pr (0.000, 0.000, 0.000)
Y (0.500, 0.500, 0.000)
Y (0.000, 0.500, 0.500)
Y (0.500, 0.000, 0.500)
Y (0.500, 0.500, 0.500)
Y (0.000, 0.000, 0.500)
Y (0.500, 0.000, 0.000)
Y (0.000, 0.500, 0.000)

# 11
The following is a PBE calculation of Tb8Pr2Y after structural relaxation, from the Alexandria database.

Output
For the energy above the lowest structure with this stoichiometry, the calculation gives 15.0 meV/atom. The total magnetization comes out at 0.0 μB per formula unit. As for the symmetry: C2/m. The energy of formation comes out at 166 meV/atom.

Cell: 6.684 6.702 8.987 Å, 99.18 111.83 90.00°
Positions (direct):
Tb (0.826, 0.402, 0.174)
Tb (0.652, 0.598, 0.826)
Tb (0.801, 0.197, 0.603)
Tb (0.199, 0.803, 0.397)
Tb (0.348, 0.402, 0.174)
Tb (0.174, 0.598, 0.826)
Tb (0.589, 0.907, 0.177)
Tb (0.411, 0.093, 0.823)
Pr (0.755, 0.689, 0.510)
Pr (0.245, 0.311, 0.490)
Y (0.000, 0.000, 0.000)

# 12
The following is a PBE calculation of TbPr5Y4 after structural relaxation, from the Alexandria database.

Output
The total magnetization comes out at 0.0 μB per formula unit. As for the symmetry: I4mm. The energy of formation comes out at 251 meV/atom.

Cell: 6.167 8.135 8.135 Å, 81.74 67.73 67.73°
Positions (direct):
Tb (0.222, 0.000, 0.000)
Pr (0.769, 0.377, 0.000)
Pr (0.147, 0.000, 0.623)
Pr (0.769, 0.000, 0.377)
Pr (0.147, 0.623, 0.000)
Pr (0.686, 0.000, 0.000)
Y (0.442, 0.325, 0.675)
Y (0.768, 0.675, 0.675)
Y (0.117, 0.325, 0.325)
Y (0.443, 0.675, 0.325)

# 13
The following is a PBE calculation of Tb3PrY4 after structural relaxation, from the Alexandria database.

Output
For the energy above the lowest structure with this stoichiometry, the calculation gives 162.8 meV/atom. The total magnetization comes out at 0.0 μB per formula unit. As for the symmetry: Immm. The energy of formation comes out at 174 meV/atom.

Cell: 3.479 6.708 15.342 Å, 130.99 96.51 90.00°
Positions (direct):
Pr (0.500, 0.000, 0.000)
Y (0.374, 0.879, 0.749)
Y (0.626, 0.121, 0.251)
Y (0.626, 0.634, 0.251)
Y (0.374, 0.366, 0.749)
Tb (0.000, 0.500, 0.000)
Tb (0.240, 0.219, 0.480)
Tb (0.760, 0.781, 0.520)

# 14
The following is a PBE calculation of Tb4Pr4Y3 after structural relaxation, from the Alexandria database.

Output
For the energy above the lowest structure with this stoichiometry, the calculation gives 0.0 meV/atom. The total magnetization comes out at 0.0 μB per formula unit. As for the symmetry: C2/m. The energy of formation comes out at 17 meV/atom.

Cell: 3.622 5.117 20.158 Å, 97.28 95.18 90.03°
Positions (direct):
Tb (0.092, 0.091, 0.183)
Tb (0.272, 0.272, 0.545)
Tb (0.728, 0.728, 0.455)
Tb (0.908, 0.909, 0.817)
Pr (0.546, 0.546, 0.092)
Pr (0.454, 0.454, 0.908)
Pr (0.818, 0.818, 0.635)
Pr (0.182, 0.182, 0.365)
Y (0.636, 0.636, 0.272)
Y (0.364, 0.364, 0.728)
Y (0.000, 0.000, 0.000)

# 15
The following is a PBE calculation of Tb9Pr4Y11 after structural relaxation, from the Alexandria database.

Output
The total magnetization comes out at 0.1 μB per formula unit. As for the symmetry: Cmmm. The energy of formation comes out at 60 meV/atom.

Cell: 3.737 15.177 15.177 Å, 112.70 90.00 90.00°
Positions (direct):
Tb (0.500, 0.635, 0.162)
Tb (0.500, 0.365, 0.838)
Tb (0.500, 0.162, 0.635)
Tb (0.500, 0.838, 0.365)
Tb (0.500, 0.788, 0.934)
Tb (0.500, 0.212, 0.066)
Tb (0.500, 0.934, 0.788)
Tb (0.500, 0.066, 0.212)
Tb (0.500, 0.500, 0.500)
Pr (0.500, 0.554, 0.754)
Pr (0.500, 0.446, 0.246)
Pr (0.500, 0.754, 0.554)
Pr (0.500, 0.246, 0.446)
Y (0.000, 0.593, 0.955)
Y (0.000, 0.407, 0.045)
Y (0.000, 0.955, 0.593)
Y (0.000, 0.045, 0.407)
Y (0.000, 0.637, 0.363)
Y (0.000, 0.363, 0.637)
Y (0.000, 0.841, 0.159)
Y (0.000, 0.159, 0.841)
Y (0.000, 0.000, 0.000)
Y (0.000, 0.714, 0.714)
Y (0.000, 0.286, 0.286)

# 16
The following is a PBE calculation of Tb12PrY6 after structural relaxation, from the Alexandria database.

Output
For the energy above the lowest structure with this stoichiometry, the calculation gives 54.9 meV/atom. The total magnetization comes out at 0.0 μB per formula unit. As for the symmetry: R-3m. The energy of formation comes out at 209 meV/atom.

Cell: 8.732 8.732 8.732 Å, 98.61 98.61 98.61°
Positions (direct):
Tb (0.757, 0.243, 0.500)
Tb (0.356, 0.081, 0.356)
Tb (0.356, 0.356, 0.081)
Tb (0.919, 0.644, 0.644)
Tb (0.644, 0.644, 0.919)
Tb (0.644, 0.919, 0.644)
Tb (0.500, 0.757, 0.243)
Tb (0.243, 0.500, 0.757)
Tb (0.243, 0.757, 0.500)
Tb (0.500, 0.243, 0.757)
Tb (0.757, 0.500, 0.243)
Tb (0.081, 0.356, 0.356)
Pr (0.000, 0.000, 0.000)
Y (0.897, 0.342, 0.897)
Y (0.897, 0.897, 0.342)
Y (0.342, 0.897, 0.897)
Y (0.103, 0.103, 0.658)
Y (0.103, 0.658, 0.103)
Y (0.658, 0.103, 0.103)

# 17
The following is a PBE calculation of Tb4Pr5Y2 after structural relaxation, from the Alexandria database.

Output
For the energy above the lowest structure with this stoichiometry, the calculation gives 89.6 meV/atom. The total magnetization comes out at 0.0 μB per formula unit. As for the symmetry: C2/m. The energy of formation comes out at 159 meV/atom.

Cell: 7.149 6.973 10.381 Å, 59.79 69.86 59.16°
Positions (direct):
Tb (0.346, 0.814, 0.495)
Tb (0.654, 0.186, 0.505)
Tb (0.709, 0.733, 0.849)
Tb (0.291, 0.267, 0.151)
Pr (0.225, 0.288, 0.821)
Pr (0.775, 0.712, 0.179)
Pr (0.000, 0.500, 0.500)
Pr (0.667, 0.288, 0.821)
Pr (0.333, 0.712, 0.179)
Y (0.169, 0.820, 0.841)
Y (0.831, 0.180, 0.159)

# 18
The following is a PBE calculation of Tb6PrY12 after structural relaxation, from the Alexandria database.

Output
For the energy above the lowest structure with this stoichiometry, the calculation gives 0.0 meV/atom. The total magnetization comes out at 0.0 μB per formula unit. As for the symmetry: R-3. The energy of formation comes out at 21 meV/atom.

Cell: 8.760 9.456 9.456 Å, 69.09 72.01 107.99°
Positions (direct):
Tb (0.422, 0.473, 0.210)
Tb (0.052, 0.684, 0.527)
Tb (0.368, 0.790, 0.684)
Tb (0.578, 0.527, 0.790)
Tb (0.948, 0.316, 0.473)
Tb (0.632, 0.210, 0.316)
Pr (0.000, 0.000, 0.000)
Y (0.525, 0.842, 0.265)
Y (0.683, 0.893, 0.842)
Y (0.789, 0.265, 0.893)
Y (0.475, 0.158, 0.735)
Y (0.317, 0.107, 0.158)
Y (0.211, 0.735, 0.107)
Y (0.263, 0.422, 0.630)
Y (0.107, 0.370, 0.053)
Y (0.159, 0.053, 0.578)
Y (0.737, 0.578, 0.370)
Y (0.893, 0.630, 0.947)
Y (0.841, 0.947, 0.422)

# 19
The following is a PBE calculation of Tb6PrY after structural relaxation, from the Alexandria database.

Output
For the energy above the lowest structure with this stoichiometry, the calculation gives 0.0 meV/atom. The total magnetization comes out at 0.0 μB per formula unit. As for the symmetry: P4/mmm. The energy of formation comes out at 15 meV/atom.

Cell: 5.058 7.170 7.170 Å, 89.98 90.00 90.00°
Positions (direct):
Tb (0.500, 0.000, 0.500)
Tb (0.500, 0.500, 0.000)
Tb (0.000, 0.251, 0.251)
Tb (0.000, 0.749, 0.749)
Tb (0.000, 0.749, 0.251)
Tb (0.000, 0.251, 0.749)
Pr (0.500, 0.000, 0.000)
Y (0.500, 0.500, 0.500)